Record 1
! PBE Tc3Hg2, optimized geometry; values from VASP
! calculated density: 13.59 Mg/m³
! ΔE_f: 0.463 eV per atom
! ΔE to the lowest computed polymorph: 5.5 meV/atom
&SYSTEM
  ibrav = 0, nat = 5, ntyp = 2
/
ATOMIC_SPECIES
Tc 98.00 Tc.upf
Hg 200.59 Hg.upf
CELL_PARAMETERS angstrom
1.438 0.830 11.862
-1.438 0.830 11.862
0.000 -1.660 11.862
ATOMIC_POSITIONS crystal
Tc 0.000 0.000 0.000
Tc 0.195 0.195 0.195
Tc 0.805 0.805 0.805
Hg 0.401 0.401 0.401
Hg 0.599 0.599 0.599

***

Record 2
! PBE Tc2Hg, optimized geometry; values from VASP
! calculated density: 13.46 Mg/m³
! ΔE_f: 0.640 eV per atom
! ΔE to the lowest computed polymorph: 388.8 meV/atom
&SYSTEM
  ibrav = 0, nat = 6, ntyp = 2
/
ATOMIC_SPECIES
Tc 98.00 Tc.upf
Hg 200.59 Hg.upf
CELL_PARAMETERS angstrom
2.489 1.437 4.560
-2.489 1.437 4.560
0.000 -2.874 4.560
ATOMIC_POSITIONS crystal
Tc 0.000 0.000 0.000
Tc 0.151 0.500 0.849
Tc 0.500 0.849 0.151
Tc 0.849 0.151 0.500
Hg 0.337 0.337 0.337
Hg 0.663 0.663 0.663